VASP calculation (PBE) on a relaxed Ho2Tl8Co crystal.

```
Ho2Tl8Co
1.0
4.732 0.000 0.000
0.000 4.732 0.000
0.000 0.000 12.598
Ho Tl Co
2 8 1
direct
0.000 0.000 0.197
0.000 0.000 0.803
0.000 0.500 0.000
0.000 0.500 0.379
0.000 0.500 0.621
0.500 0.000 0.000
0.500 0.000 0.379
0.500 0.000 0.621
0.500 0.500 0.189
0.500 0.500 0.811
0.000 0.000 0.500
```


VASP calculation (PBE) on a relaxed HoTlCo crystal.

```
HoTlCo
1.0
0.000 3.227 3.227
3.227 0.000 3.227
3.227 3.227 0.000
Ho Tl Co
1 1 1
direct
0.000 0.000 0.000
0.500 0.500 0.500
0.250 0.250 0.250
```


VASP calculation (PBE) on a relaxed HoTlCo crystal.

```
HoTlCo
1.0
0.000 3.357 3.357
3.357 0.000 3.357
3.357 3.357 0.000
Ho Tl Co
1 1 1
direct
0.000 0.000 0.000
0.250 0.250 0.250
0.750 0.750 0.750
```


VASP calculation (PBE) on a relaxed YHoTlCo2 crystal.

```
YHoTlCo2
1.0
3.854 0.000 0.000
0.000 1.909 7.027
0.000 -1.909 7.027
Y Ho Tl Co
1 1 1 2
direct
0.000 0.000 0.000
0.000 0.278 0.278
0.500 0.639 0.639
0.500 0.430 0.430
0.500 0.843 0.843
```


VASP calculation (PBE) on a relaxed HoTmCo crystal.

```
HoTmCo
1.0
0.000 3.261 3.261
3.261 0.000 3.261
3.261 3.261 0.000
Ho Tm Co
1 1 1
direct
0.000 0.000 0.000
0.750 0.750 0.750
0.500 0.500 0.500
```

Output
energy of formation	806.7	meV per atom
polymorph energy (0 for the lowest one)	0.0000	eV per atom


VASP calculation (PBE) on a relaxed HoTm2Co9 crystal.

```
HoTm2Co9
1.0
2.465 1.423 8.016
-2.465 1.423 8.016
0.000 -2.846 8.016
Ho Tm Co
1 2 9
direct
0.000 0.000 0.000
0.140 0.140 0.140
0.860 0.860 0.860
0.078 0.584 0.584
0.335 0.335 0.335
0.416 0.416 0.922
0.416 0.922 0.416
0.500 0.500 0.500
0.584 0.078 0.584
0.584 0.584 0.078
0.665 0.665 0.665
0.922 0.416 0.416
```

Output
energy of formation	-211.3	meV per atom


VASP calculation (PBE) on a relaxed Ho2TmCo9 crystal.

```
Ho2TmCo9
1.0
2.460 1.420 8.057
-2.460 1.420 8.057
0.000 -2.840 8.057
Ho Tm Co
2 1 9
direct
0.140 0.140 0.140
0.860 0.860 0.860
0.000 0.000 0.000
0.078 0.583 0.583
0.335 0.335 0.335
0.417 0.417 0.922
0.417 0.922 0.417
0.500 0.500 0.500
0.583 0.078 0.583
0.583 0.583 0.078
0.665 0.665 0.665
0.922 0.417 0.417
```

Output
energy of formation	-194.0	meV per atom


VASP calculation (PBE) on a relaxed YHo2Co9 crystal.

```
YHo2Co9
1.0
2.478 1.431 8.062
-2.478 1.431 8.062
0.000 -2.862 8.062
Y Ho Co
1 2 9
direct
0.000 0.000 0.000
0.140 0.140 0.140
0.860 0.860 0.860
0.078 0.583 0.583
0.335 0.335 0.335
0.417 0.417 0.922
0.417 0.922 0.417
0.500 0.500 0.500
0.583 0.078 0.583
0.583 0.583 0.078
0.665 0.665 0.665
0.922 0.417 0.417
```

Output
energy of formation	-182.6	meV per atom


VASP calculation (PBE) on a relaxed YHoCo2 crystal.

```
YHoCo2
1.0
3.849 0.000 0.000
0.000 5.481 0.000
0.000 0.000 7.334
Y Ho Co
2 2 4
direct
0.000 0.133 0.000
0.000 0.867 0.500
0.500 0.368 0.644
0.500 0.632 0.144
0.000 0.354 0.350
0.000 0.646 0.850
0.500 0.155 0.296
0.500 0.845 0.796
```

Output
energy of formation	-201.6	meV per atom


VASP calculation (PBE) on a relaxed YHoZnCo2 crystal.

```
YHoZnCo2
1.0
-2.034 2.731 4.080
2.034 -2.731 4.080
2.034 2.731 -4.080
Y Ho Zn Co
1 1 1 2
direct
0.000 0.000 0.000
0.582 0.582 0.000
0.291 0.791 0.500
0.000 0.290 0.710
0.580 0.290 0.290
```

Output
energy of formation	-299.6	meV per atom


VASP calculation (PBE) on a relaxed Ho4Zn3Co2 crystal.

```
Ho4Zn3Co2
1.0
6.973 0.000 0.000
0.000 3.623 0.000
-2.151 0.000 7.226
Ho Zn Co
4 3 2
direct
0.085 0.000 0.224
0.394 0.000 0.704
0.606 0.000 0.296
0.915 0.000 0.776
0.000 0.500 0.500
0.303 0.500 0.018
0.697 0.500 0.982
0.345 0.500 0.394
0.655 0.500 0.606
```

Output
energy of formation	-309.3	meV per atom


VASP calculation (PBE) on a relaxed HoZrCo2 crystal.

```
HoZrCo2
1.0
4.131 0.000 0.000
0.000 7.115 0.000
0.000 0.000 4.964
Ho Zr Co
2 2 4
direct
0.000 0.171 0.000
0.000 0.829 0.500
0.500 0.341 0.501
0.500 0.659 0.001
0.000 0.499 0.252
0.000 0.501 0.752
0.500 0.000 0.250
0.500 0.000 0.750
```

Output
energy of formation	-126.3	meV per atom
polymorph energy (0 for the lowest one)	0.0058	eV per atom


VASP calculation (PBE) on a relaxed Ho3ZrCo4 crystal.

```
Ho3ZrCo4
1.0
4.357 0.000 0.000
0.000 4.656 0.000
0.000 0.000 7.566
Ho Zr Co
3 1 4
direct
0.000 0.000 0.000
0.000 0.500 0.335
0.500 0.000 0.510
0.500 0.500 0.839
0.000 0.253 0.678
0.000 0.747 0.678
0.500 0.250 0.161
0.500 0.750 0.161
```

Output
energy of formation	-129.7	meV per atom


VASP calculation (PBE) on a relaxed HoZr3Co4 crystal.

```
HoZr3Co4
1.0
4.002 0.000 0.000
0.000 5.065 0.000
0.000 0.000 6.937
Ho Zr Co
1 3 4
direct
0.000 0.000 0.000
0.000 0.500 0.337
0.500 0.000 0.493
0.500 0.500 0.821
0.000 0.251 0.657
0.000 0.749 0.657
0.500 0.261 0.170
0.500 0.739 0.170
```

Output
energy of formation	-170.6	meV per atom


VASP calculation (PBE) on a relaxed HoZrCo2 crystal.

```
HoZrCo2
1.0
4.007 0.000 0.000
0.000 5.294 0.000
0.000 0.000 6.918
Ho Zr Co
2 2 4
direct
0.000 0.001 0.000
0.500 0.999 0.500
0.000 0.500 0.666
0.500 0.500 0.166
0.000 0.263 0.334
0.000 0.736 0.333
0.500 0.264 0.833
0.500 0.737 0.834
```

Output
energy of formation	-132.1	meV per atom
polymorph energy (0 for the lowest one)	0.0000	eV per atom


VASP calculation (PBE) on a relaxed Ho2ZrCo2 crystal.

```
Ho2ZrCo2
1.0
5.018 -2.912 0.000
5.018 2.912 0.000
-1.399 0.000 6.971
Ho Zr Co
4 2 4
direct
0.035 0.266 0.149
0.266 0.035 0.649
0.734 0.965 0.351
0.965 0.734 0.851
0.409 0.591 0.250
0.591 0.409 0.750
0.193 0.506 0.498
0.494 0.807 0.002
0.506 0.193 0.998
0.807 0.494 0.502
```

Output
energy of formation	-254.0	meV per atom


VASP calculation (PBE) on a relaxed CoI2 crystal.

```
CoI2
1.0
3.924 0.000 0.000
-1.962 3.399 0.000
0.000 0.000 13.827
Co I
2 4
direct
0.333 0.667 0.000
0.667 0.333 0.500
0.000 0.000 0.111
0.000 0.000 0.611
0.333 0.667 0.389
0.667 0.333 0.889
```


VASP calculation (PBE) on a relaxed CoI2 crystal.

```
CoI2
1.0
4.202 0.000 0.000
0.000 4.202 0.000
0.000 0.000 12.511
Co I
2 4
direct
0.250 0.750 0.250
0.750 0.250 0.750
0.250 0.250 0.130
0.250 0.250 0.630
0.750 0.750 0.370
0.750 0.750 0.870
```


VASP calculation (PBE) on a relaxed CoI2 crystal.

```
CoI2
1.0
7.048 0.000 0.000
-3.524 6.104 0.000
0.000 0.000 8.239
Co I
3 6
direct
0.000 0.537 0.333
0.463 0.463 0.000
0.537 0.000 0.667
0.073 0.382 0.076
0.309 0.927 0.409
0.382 0.073 0.924
0.618 0.691 0.742
0.691 0.618 0.258
0.927 0.309 0.591
```


VASP calculation (PBE) on a relaxed CoI2 crystal.

```
CoI2
1.0
-3.008 5.830 2.632
3.008 -5.830 2.632
3.008 5.830 -2.632
Co I
2 4
direct
0.250 0.250 0.000
0.750 0.750 0.000
0.128 0.245 0.373
0.372 0.745 0.117
0.628 0.255 0.883
0.872 0.755 0.627
```


Result set for E: -3.25; -4.68; -4.06; -5.82; -4.58; -6.67; -6.66; -6.81; -6.52; -5.60; -4.34; -6.96; -6.47; -7.50; -6.97; -6.64; -3.36; -3.40; -3.38; -3.30 eV/atom, one per record in the order listed.